Run a
The following is a PBE calculation of a geometry-optimized Sc2AlTlB structure, from the Alexandria database.

Cell and atoms, written as POSCAR:
```
Sc2AlTlB
1.0
5.3656 0.0000 0.0000
0.0000 5.3656 0.0000
0.0000 0.0000 4.8339
Sc Al Tl B
2 1 1 1
Direct
0.0000 0.5000 0.0000
0.5000 0.0000 0.0000
0.0000 0.0000 0.5000
0.0000 0.0000 0.0000
0.5000 0.5000 0.5000
```

Run b
The following is a PBE calculation of a geometry-optimized Sc2AlTlB structure, from the Alexandria database.

Cell and atoms, written as POSCAR:
```
Sc2AlTlB
1.0
4.7568 0.0000 0.0000
0.0000 4.7568 0.0000
0.0000 0.0000 4.1424
Sc Al Tl B
2 1 1 1
Direct
0.0000 0.5000 0.0000
0.5000 0.0000 0.0000
0.0000 0.0000 0.5000
0.5000 0.5000 0.5000
0.0000 0.0000 0.0000
```

What should be chosen as the most stable of them? Choose run b.

Run a
The following is a PBE calculation of a geometry-optimized AlBSe3 structure, from the Alexandria database.

Cell and atoms, written as POSCAR:
```
AlBSe3
1.0
6.1607 -1.7297 0.0000
6.1607 1.7297 0.0000
-1.0755 0.0000 10.8240
Al B Se
2 2 6
Direct
0.1499 0.1499 0.4063
0.8501 0.8501 0.5937
0.4223 0.4223 0.2339
0.5777 0.5777 0.7661
0.1385 0.1385 0.8552
0.3542 0.3542 0.4212
0.4086 0.4086 0.7461
0.5914 0.5914 0.2539
0.6458 0.6458 0.5788
0.8615 0.8615 0.1448
```

Run b
The following is a PBE calculation of a geometry-optimized AlBSe3 structure, from the Alexandria database.

Cell and atoms, written as POSCAR:
```
AlBSe3
1.0
4.4970 0.0000 0.0000
0.0000 4.4970 0.0000
0.0000 0.0000 4.4970
Al B Se
1 1 3
Direct
0.0000 0.0000 0.0000
0.5000 0.5000 0.5000
0.0000 0.5000 0.5000
0.5000 0.0000 0.5000
0.5000 0.5000 0.0000
```

Run c
The following is a PBE calculation of a geometry-optimized AlBSe3 structure, from the Alexandria database.

Cell and atoms, written as POSCAR:
```
AlBSe3
1.0
4.8786 0.0000 0.0000
0.0000 4.8786 0.0000
0.0000 0.0000 4.8786
Al B Se
1 1 3
Direct
0.0000 0.0000 0.0000
0.5000 0.5000 0.5000
0.0000 0.0000 0.5000
0.0000 0.5000 0.0000
0.5000 0.0000 0.0000
```

What should be chosen as the most stable of them? Choose run a.

Run a
The following is a PBE calculation of a geometry-optimized Al3BSe structure, from the Alexandria database.

Cell and atoms, written as POSCAR:
```
Al3BSe
1.0
4.9302 0.0000 0.0000
0.0000 4.9302 0.0000
0.0000 0.0000 4.9302
Al B Se
3 1 1
Direct
0.0000 0.0000 0.5000
0.0000 0.5000 0.0000
0.5000 0.0000 0.0000
0.5000 0.5000 0.5000
0.0000 0.0000 0.0000
```

Run b
The following is a PBE calculation of a geometry-optimized Al3BSe structure, from the Alexandria database.

Cell and atoms, written as POSCAR:
```
Al3BSe
1.0
4.3359 0.0000 0.0000
0.0000 4.3359 0.0000
0.0000 0.0000 4.3359
Al B Se
3 1 1
Direct
0.0000 0.0000 0.5000
0.0000 0.5000 0.0000
0.5000 0.0000 0.0000
0.0000 0.0000 0.0000
0.5000 0.5000 0.5000
```

What should be chosen as the most stable of them? Choose run b.

Run a
The following is a PBE calculation of a geometry-optimized AlSiB2 structure, from the Alexandria database.

Cell and atoms, written as POSCAR:
```
AlSiB2
1.0
5.1211 0.0000 0.0000
0.0000 5.1211 0.0000
0.0000 0.0000 8.5231
Al Si B
4 4 8
Direct
0.0000 0.0000 0.0000
0.0000 0.5000 0.2500
0.5000 0.0000 0.7500
0.5000 0.5000 0.5000
0.0000 0.0000 0.5000
0.0000 0.5000 0.7500
0.5000 0.0000 0.2500
0.5000 0.5000 0.0000
0.2200 0.2500 0.6250
0.2500 0.7200 0.8750
0.2500 0.7800 0.3750
0.2800 0.2500 0.1250
0.7200 0.7500 0.1250
0.7500 0.2200 0.3750
0.7500 0.2800 0.8750
0.7800 0.7500 0.6250
```

Run b
The following is a PBE calculation of a geometry-optimized AlSiB2 structure, from the Alexandria database.

Cell and atoms, written as POSCAR:
```
AlSiB2
1.0
5.5024 0.0000 0.0000
0.0000 5.5024 0.0000
0.0000 0.0000 5.5024
Al Si B
4 4 8
Direct
0.0000 0.0000 0.0000
0.0000 0.5000 0.5000
0.5000 0.0000 0.5000
0.5000 0.5000 0.0000
0.0000 0.0000 0.5000
0.0000 0.5000 0.0000
0.5000 0.0000 0.0000
0.5000 0.5000 0.5000
0.2500 0.2500 0.2500
0.2500 0.2500 0.7500
0.2500 0.7500 0.2500
0.2500 0.7500 0.7500
0.7500 0.2500 0.2500
0.7500 0.2500 0.7500
0.7500 0.7500 0.2500
0.7500 0.7500 0.7500
```

What should be chosen as the most stable of them? Choose run a.

Run a
The following is a PBE calculation of a geometry-optimized AlSiB3 structure, from the Alexandria database.

Cell and atoms, written as POSCAR:
```
AlSiB3
1.0
3.9873 0.0000 0.0000
0.0000 3.9873 0.0000
0.0000 0.0000 3.9873
Al Si B
1 1 3
Direct
0.0000 0.0000 0.0000
0.5000 0.5000 0.5000
0.0000 0.5000 0.5000
0.5000 0.0000 0.5000
0.5000 0.5000 0.0000
```

Run b
The following is a PBE calculation of a geometry-optimized AlSiB3 structure, from the Alexandria database.

Cell and atoms, written as POSCAR:
```
AlSiB3
1.0
4.1293 0.0000 0.0000
0.0000 4.1293 0.0000
0.0000 0.0000 4.1293
Al Si B
1 1 3
Direct
0.0000 0.0000 0.0000
0.5000 0.5000 0.5000
0.0000 0.0000 0.5000
0.0000 0.5000 0.0000
0.5000 0.0000 0.0000
```

What should be chosen as the most stable of them? Choose run a.

Run a
The following is a PBE calculation of a geometry-optimized Al2SiB structure, from the Alexandria database.

Cell and atoms, written as POSCAR:
```
Al2SiB
1.0
5.7970 0.0000 0.0000
0.0000 5.7970 0.0000
0.0000 0.0000 8.5751
Al Si B
8 4 4
Direct
0.1838 0.2500 0.1250
0.2500 0.6838 0.3750
0.2500 0.8162 0.8750
0.3162 0.2500 0.6250
0.6838 0.7500 0.6250
0.7500 0.1838 0.8750
0.7500 0.3162 0.3750
0.8162 0.7500 0.1250
0.0000 0.0000 0.5000
0.0000 0.5000 0.7500
0.5000 0.0000 0.2500
0.5000 0.5000 0.0000
0.0000 0.0000 0.0000
0.0000 0.5000 0.2500
0.5000 0.0000 0.7500
0.5000 0.5000 0.5000
```

Run b
The following is a PBE calculation of a geometry-optimized Al2SiB structure, from the Alexandria database.

Cell and atoms, written as POSCAR:
```
Al2SiB
1.0
6.0216 0.0000 0.0000
0.0000 6.0216 0.0000
0.0000 0.0000 6.0216
Al Si B
8 4 4
Direct
0.2500 0.2500 0.2500
0.2500 0.2500 0.7500
0.2500 0.7500 0.2500
0.2500 0.7500 0.7500
0.7500 0.2500 0.2500
0.7500 0.2500 0.7500
0.7500 0.7500 0.2500
0.7500 0.7500 0.7500
0.0000 0.0000 0.0000
0.0000 0.5000 0.5000
0.5000 0.0000 0.5000
0.5000 0.5000 0.0000
0.0000 0.0000 0.5000
0.0000 0.5000 0.0000
0.5000 0.0000 0.0000
0.5000 0.5000 0.5000
```

What should be chosen as the most stable of them? Choose run a.

Run a
The following is a PBE calculation of a geometry-optimized AlSn2B structure, from the Alexandria database.

Cell and atoms, written as POSCAR:
```
AlSn2B
1.0
6.8335 0.0000 0.0000
0.0000 6.8335 0.0000
0.0000 0.0000 6.8335
Al Sn B
4 8 4
Direct
0.0000 0.0000 0.0000
0.0000 0.5000 0.5000
0.5000 0.0000 0.5000
0.5000 0.5000 0.0000
0.2500 0.2500 0.2500
0.2500 0.2500 0.7500
0.2500 0.7500 0.2500
0.2500 0.7500 0.7500
0.7500 0.2500 0.2500
0.7500 0.2500 0.7500
0.7500 0.7500 0.2500
0.7500 0.7500 0.7500
0.0000 0.0000 0.5000
0.0000 0.5000 0.0000
0.5000 0.0000 0.0000
0.5000 0.5000 0.5000
```

Run b
The following is a PBE calculation of a geometry-optimized AlSn2B structure, from the Alexandria database.

Cell and atoms, written as POSCAR:
```
AlSn2B
1.0
6.0198 0.0000 0.0000
0.0000 6.0198 0.0000
0.0000 0.0000 10.6005
Al Sn B
4 8 4
Direct
0.0000 0.0000 0.0000
0.0000 0.5000 0.2500
0.5000 0.0000 0.7500
0.5000 0.5000 0.5000
0.1842 0.2500 0.6250
0.2500 0.6842 0.8750
0.2500 0.8158 0.3750
0.3158 0.2500 0.1250
0.6842 0.7500 0.1250
0.7500 0.1842 0.3750
0.7500 0.3158 0.8750
0.8158 0.7500 0.6250
0.0000 0.0000 0.5000
0.0000 0.5000 0.7500
0.5000 0.0000 0.2500
0.5000 0.5000 0.0000
```

What should be chosen as the most stable of them? Choose run b.

Run a
The following is a PBE calculation of a geometry-optimized SrAl3B structure, from the Alexandria database.

Cell and atoms, written as POSCAR:
```
SrAl3B
1.0
4.6085 0.0000 0.0000
0.0000 4.6085 0.0000
0.0000 0.0000 4.6085
Sr Al B
1 3 1
Direct
0.0000 0.0000 0.0000
0.0000 0.5000 0.5000
0.5000 0.0000 0.5000
0.5000 0.5000 0.0000
0.5000 0.5000 0.5000
```

Run b
The following is a PBE calculation of a geometry-optimized SrAl3B structure, from the Alexandria database.

Cell and atoms, written as POSCAR:
```
SrAl3B
1.0
5.9237 0.0000 0.0000
0.0000 5.9237 0.0000
0.0000 0.0000 5.9237
Sr Al B
1 3 1
Direct
0.0000 0.0000 0.0000
0.0000 0.0000 0.5000
0.0000 0.5000 0.0000
0.5000 0.0000 0.0000
0.5000 0.5000 0.5000
```

What should be chosen as the most stable of them? Choose run a.

Run a
The following is a PBE calculation of a geometry-optimized TaAlB structure, from the Alexandria database.

Cell and atoms, written as POSCAR:
```
TaAlB
1.0
8.7677 0.0000 0.0000
0.0000 3.2871 0.0000
-3.9282 0.0000 5.4475
Ta Al B
4 4 4
Direct
0.0000 0.0000 0.0000
0.2348 0.0000 0.5556
0.5000 0.5000 0.0000
0.7348 0.5000 0.5556
0.1005 0.5000 0.7468
0.3354 0.5000 0.2820
0.6005 0.0000 0.7468
0.8354 0.0000 0.2820
0.0592 0.5000 0.2700
0.2997 0.0000 0.9882
0.5592 0.0000 0.2700
0.7997 0.5000 0.9882
```

Run b
The following is a PBE calculation of a geometry-optimized TaAlB structure, from the Alexandria database.

Cell and atoms, written as POSCAR:
```
TaAlB
1.0
8.4402 0.0000 0.0000
0.0000 3.2299 0.0000
-1.0750 0.0000 6.0139
Ta Al B
4 4 4
Direct
0.1226 0.0000 0.3348
0.3774 0.5000 0.6652
0.6226 0.5000 0.3348
0.8774 0.0000 0.6652
0.1329 0.5000 0.9417
0.3671 0.0000 0.0583
0.6329 0.0000 0.9417
0.8671 0.5000 0.0583
0.0871 0.5000 0.5920
0.4129 0.0000 0.4080
0.5871 0.0000 0.5920
0.9129 0.5000 0.4080
```

Run c
The following is a PBE calculation of a geometry-optimized TaAlB structure, from the Alexandria database.

Cell and atoms, written as POSCAR:
```
TaAlB
1.0
10.1554 0.0000 0.0000
0.0000 3.1896 0.0000
-0.4272 0.0000 4.9721
Ta Al B
4 4 4
Direct
0.2172 0.0000 0.2449
0.2828 0.5000 0.7551
0.7172 0.5000 0.2449
0.7828 0.0000 0.7551
0.0570 0.0000 0.7601
0.4430 0.5000 0.2399
0.5570 0.5000 0.7601
0.9430 0.0000 0.2399
0.0837 0.5000 0.4508
0.4163 0.0000 0.5492
0.5837 0.0000 0.4508
0.9163 0.5000 0.5492
```

What should be chosen as the most stable of them? Choose run c.

Run a
The following is a PBE calculation of a geometry-optimized TaAlB structure, from the Alexandria database.

Cell and atoms, written as POSCAR:
```
TaAlB
1.0
3.0002 0.0000 0.0000
0.0000 3.1516 0.0000
0.0000 0.0000 16.3907
Ta Al B
4 4 4
Direct
0.0000 0.0000 0.0000
0.0000 0.0000 0.2330
0.0000 0.5000 0.5000
0.0000 0.5000 0.7330
0.5000 0.0000 0.6137
0.5000 0.0000 0.8430
0.5000 0.5000 0.1137
0.5000 0.5000 0.3430
0.0000 0.0000 0.3898
0.0000 0.5000 0.8898
0.5000 0.0000 0.4455
0.5000 0.5000 0.9455
```

Run b
The following is a PBE calculation of a geometry-optimized TaAlB structure, from the Alexandria database.

Cell and atoms, written as POSCAR:
```
TaAlB
1.0
11.1983 0.0000 0.0000
0.0000 3.0974 0.0000
-0.9084 0.0000 4.3571
Ta Al B
4 4 4
Direct
0.1424 0.0000 0.3276
0.3576 0.5000 0.6724
0.6424 0.5000 0.3276
0.8576 0.0000 0.6724
0.0730 0.5000 0.7837
0.4270 0.0000 0.2163
0.5730 0.0000 0.7837
0.9270 0.5000 0.2163
0.2359 0.0000 0.8832
0.2641 0.5000 0.1168
0.7359 0.5000 0.8832
0.7641 0.0000 0.1168
```

What should be chosen as the most stable of them? Choose run b.

Run a
The following is a PBE calculation of a geometry-optimized TaAlB structure, from the Alexandria database.

Cell and atoms, written as POSCAR:
```
TaAlB
1.0
11.7522 0.0000 0.0000
0.0000 3.0471 0.0000
-0.9789 0.0000 4.3255
Ta Al B
4 4 4
Direct
0.0000 0.0000 0.0000
0.2260 0.5000 0.1315
0.5000 0.5000 0.0000
0.7260 0.0000 0.1315
0.1456 0.0000 0.5871
0.4198 0.0000 0.4574
0.6456 0.5000 0.5871
0.9198 0.5000 0.4574
0.3012 0.5000 0.6837
0.3419 0.0000 0.9205
0.8012 0.0000 0.6837
0.8419 0.5000 0.9205
```

Run b
The following is a PBE calculation of a geometry-optimized TaAlB structure, from the Alexandria database.

Cell and atoms, written as POSCAR:
```
TaAlB
1.0
8.6158 0.0000 0.0000
0.0000 3.2794 0.0000
-0.3131 0.0000 5.8040
Ta Al B
4 4 4
Direct
0.1443 0.0000 0.3699
0.3557 0.5000 0.6301
0.6443 0.5000 0.3699
0.8557 0.0000 0.6301
0.1416 0.0000 0.8772
0.3584 0.5000 0.1228
0.6416 0.5000 0.8772
0.8584 0.0000 0.1228
0.0624 0.5000 0.6248
0.4376 0.0000 0.3752
0.5624 0.0000 0.6248
0.9376 0.5000 0.3752
```

Run c
The following is a PBE calculation of a geometry-optimized TaAlB structure, from the Alexandria database.

Cell and atoms, written as POSCAR:
```
TaAlB
1.0
8.8405 0.0000 0.0000
0.0000 3.3547 0.0000
-3.5802 0.0000 5.0108
Ta Al B
4 4 4
Direct
0.0799 0.0000 0.3413
0.4201 0.5000 0.6587
0.5799 0.5000 0.3413
0.9201 0.0000 0.6587
0.1816 0.5000 0.0889
0.3184 0.0000 0.9111
0.6816 0.0000 0.0889
0.8184 0.5000 0.9111
0.1179 0.5000 0.6454
0.3821 0.0000 0.3546
0.6179 0.0000 0.6454
0.8821 0.5000 0.3546
```

What should be chosen as the most stable of them? Choose run c.